(1)
KHfBeSe3 | GGA-PBE | relaxed

Properties
energy above the lowest structure with this stoichiometry	0	meV/atom
uncorrected energy	-63.96	eV per cell
space group	P2_1/m (11)

Geometry as POSCAR:
```
KHfBeSe3
1.0
9.1904 0.0000 0.0000
0.0000 3.7519 0.0000
-3.5674 0.0000 8.5919
K Hf Be Se
2 2 2 6
Direct
0.2022 0.2500 0.2359
0.7978 0.7500 0.7641
0.3505 0.7500 0.8729
0.6495 0.2500 0.1271
0.0826 0.2500 0.6051
0.9174 0.7500 0.3949
0.1266 0.2500 0.8562
0.1866 0.7500 0.5376
0.4686 0.7500 0.1819
0.5314 0.2500 0.8181
0.8134 0.2500 0.4624
0.8734 0.7500 0.1438
```

(2)
KHfBeSe3 | GGA-PBE | relaxed

Properties
energy above the lowest structure with this stoichiometry	60	meV/atom
uncorrected energy	-63.23	eV per cell
space group	Cmcm (63)

Geometry as POSCAR:
```
KHfBeSe3
1.0
1.8668 -7.6246 0.0000
1.8668 7.6246 0.0000
0.0000 0.0000 10.2267
K Hf Be Se
2 2 2 6
Direct
0.2442 0.7558 0.7500
0.7558 0.2442 0.2500
0.5000 0.5000 0.0000
0.5000 0.5000 0.5000
0.0371 0.9629 0.2500
0.9629 0.0371 0.7500
0.1213 0.8787 0.0687
0.1213 0.8787 0.4313
0.4445 0.5555 0.2500
0.5555 0.4445 0.7500
0.8787 0.1213 0.5687
0.8787 0.1213 0.9313
```

(3)
LiHf2Be | GGA-PBE | relaxed

Properties
uncorrected energy	-92.45	eV per cell
space group	F-43m (216)

Geometry as POSCAR:
```
LiHf2Be
1.0
6.5750 0.0000 0.0000
0.0000 6.5750 0.0000
0.0000 0.0000 6.5750
Li Hf Be
4 8 4
Direct
0.0000 0.0000 0.0000
0.0000 0.5000 0.5000
0.5000 0.0000 0.5000
0.5000 0.5000 0.0000
0.0000 0.0000 0.5000
0.0000 0.5000 0.0000
0.2500 0.2500 0.2500
0.2500 0.7500 0.7500
0.5000 0.0000 0.0000
0.5000 0.5000 0.5000
0.7500 0.2500 0.7500
0.7500 0.7500 0.2500
0.2500 0.2500 0.7500
0.2500 0.7500 0.2500
0.7500 0.2500 0.2500
0.7500 0.7500 0.7500
```

(4)
LiHfBe | GGA-PBE | relaxed

Properties
uncorrected energy	-49.86	eV per cell
space group	F-43m (216)

Geometry as POSCAR:
```
LiHfBe
1.0
5.9601 0.0000 0.0000
0.0000 5.9601 0.0000
0.0000 0.0000 5.9601
Li Hf Be
4 4 4
Direct
0.0000 0.0000 0.0000
0.0000 0.5000 0.5000
0.5000 0.0000 0.5000
0.5000 0.5000 0.0000
0.2500 0.2500 0.7500
0.2500 0.7500 0.2500
0.7500 0.2500 0.2500
0.7500 0.7500 0.7500
0.0000 0.0000 0.5000
0.0000 0.5000 0.0000
0.5000 0.0000 0.0000
0.5000 0.5000 0.5000
```

(5)
LiHfBe2 | GGA-PBE | relaxed

Properties
uncorrected energy	-74.51	eV per cell
space group	F-43m (216)

Geometry as POSCAR:
```
LiHfBe2
1.0
5.8245 0.0000 0.0000
0.0000 5.8245 0.0000
0.0000 0.0000 5.8245
Li Hf Be
4 4 8
Direct
0.0000 0.0000 0.0000
0.0000 0.5000 0.5000
0.5000 0.0000 0.5000
0.5000 0.5000 0.0000
0.2500 0.2500 0.2500
0.2500 0.7500 0.7500
0.7500 0.2500 0.7500
0.7500 0.7500 0.2500
0.0000 0.0000 0.5000
0.0000 0.5000 0.0000
0.2500 0.2500 0.7500
0.2500 0.7500 0.2500
0.5000 0.0000 0.0000
0.5000 0.5000 0.5000
0.7500 0.2500 0.2500
0.7500 0.7500 0.7500
```

(6)
Li2HfBe | GGA-PBE | relaxed

Properties
uncorrected energy	-65.01	eV per cell
space group	F-43m (216)

Geometry as POSCAR:
```
Li2HfBe
1.0
6.1231 0.0000 0.0000
0.0000 6.1231 0.0000
0.0000 0.0000 6.1231
Li Hf Be
8 4 4
Direct
0.0000 0.0000 0.0000
0.0000 0.5000 0.5000
0.2500 0.2500 0.2500
0.2500 0.7500 0.7500
0.5000 0.0000 0.5000
0.5000 0.5000 0.0000
0.7500 0.2500 0.7500
0.7500 0.7500 0.2500
0.2500 0.2500 0.7500
0.2500 0.7500 0.2500
0.7500 0.2500 0.2500
0.7500 0.7500 0.7500
0.0000 0.0000 0.5000
0.0000 0.5000 0.0000
0.5000 0.0000 0.0000
0.5000 0.5000 0.5000
```

(7)
LuHf2Be | GGA-PBE | relaxed

Properties
uncorrected energy	-106.68	eV per cell
space group	F-43m (216)

Geometry as POSCAR:
```
LuHf2Be
1.0
6.8572 0.0000 0.0000
0.0000 6.8572 0.0000
0.0000 0.0000 6.8572
Lu Hf Be
4 8 4
Direct
0.0000 0.0000 0.0000
0.0000 0.5000 0.5000
0.5000 0.0000 0.5000
0.5000 0.5000 0.0000
0.0000 0.0000 0.5000
0.0000 0.5000 0.0000
0.2500 0.2500 0.2500
0.2500 0.7500 0.7500
0.5000 0.0000 0.0000
0.5000 0.5000 0.5000
0.7500 0.2500 0.7500
0.7500 0.7500 0.2500
0.2500 0.2500 0.7500
0.2500 0.7500 0.2500
0.7500 0.2500 0.2500
0.7500 0.7500 0.7500
```

(8)
Lu2HfBe | GGA-PBE | relaxed

Properties
uncorrected energy	-84.41	eV per cell
space group	F-43m (216)

Geometry as POSCAR:
```
Lu2HfBe
1.0
7.0212 0.0000 0.0000
0.0000 7.0212 0.0000
0.0000 0.0000 7.0212
Lu Hf Be
8 4 4
Direct
0.0000 0.0000 0.0000
0.0000 0.5000 0.5000
0.2500 0.2500 0.2500
0.2500 0.7500 0.7500
0.5000 0.0000 0.5000
0.5000 0.5000 0.0000
0.7500 0.2500 0.7500
0.7500 0.7500 0.2500
0.2500 0.2500 0.7500
0.2500 0.7500 0.2500
0.7500 0.2500 0.2500
0.7500 0.7500 0.7500
0.0000 0.0000 0.5000
0.0000 0.5000 0.0000
0.5000 0.0000 0.0000
0.5000 0.5000 0.5000
```